1.
Ti3AlSn | PBE | relaxed

Properties
Formation energy from the elements   -0.005 eV/atom
DOS at the Fermi energy   10.82 states/eV/cell
Excess energy over the best structure of this formula in the dataset   0 kJ/mol of formula units
VASP energy   -6.291 eV per atom

Cell lengths 7.732, 7.732, 5.229 Å; angles 90.00, 90.00, 141.54 degrees
Atoms (fractional coordinates):
Ti1 0.000 0.000 0.000
Ti2 0.000 0.000 0.500
Ti3 0.097 0.400 0.250
Ti4 0.400 0.097 0.750
Ti5 0.600 0.903 0.250
Ti6 0.903 0.600 0.750
Al1 0.467 0.533 0.750
Al2 0.533 0.467 0.250
Sn1 0.172 0.828 0.250
Sn2 0.828 0.172 0.750

***

2.
Pm5Pr6Nd2 | PBE | relaxed

Properties
Formation energy from the elements   0.091 eV/atom
DOS at the Fermi energy   32.07 states/eV/cell
VASP energy   -4.676 eV per atom

Cell lengths 12.006, 21.046, 3.693 Å; angles 90.00, 90.00, 90.00 degrees
Atoms (fractional coordinates):
Pm1 0.000 0.000 0.000
Pm2 0.087 0.277 0.000
Pm3 0.199 0.556 0.000
Pm4 0.301 0.056 0.000
Pm5 0.413 0.777 0.000
Pm6 0.500 0.500 0.000
Pm7 0.587 0.223 0.000
Pm8 0.699 0.944 0.000
Pm9 0.801 0.444 0.000
Pm10 0.913 0.723 0.000
Pr1 0.061 0.422 0.500
Pr2 0.079 0.134 0.500
Pr3 0.179 0.869 0.000
Pr4 0.321 0.369 0.000
Pr5 0.421 0.634 0.500
Pr6 0.439 0.922 0.500
Pr7 0.561 0.078 0.500
Pr8 0.579 0.366 0.500
Pr9 0.679 0.631 0.000
Pr10 0.821 0.131 0.000
Pr11 0.921 0.866 0.500
Pr12 0.939 0.578 0.500
Nd1 0.172 0.715 0.500
Nd2 0.328 0.215 0.500
Nd3 0.672 0.785 0.500
Nd4 0.828 0.285 0.500

***

3.
LaPr2Pu3Te6 | PBE | relaxed

Properties
DOS at the Fermi energy   33.78 states/eV/cell
ΔE_f (raw)   -1.3049 eV/atom
VASP energy   -7.666 eV per atom

Cell lengths 10.068, 10.068, 9.012 Å; angles 103.59, 103.59, 25.68 degrees
Atoms (fractional coordinates):
La1 0.000 0.000 0.000
Pr1 0.332 0.332 0.664
Pr2 0.668 0.668 0.336
Pu1 0.000 0.000 0.500
Pu2 0.334 0.334 0.167
Pu3 0.666 0.666 0.833
Te1 0.164 0.164 0.589
Te2 0.169 0.169 0.080
Te3 0.499 0.499 0.256
Te4 0.501 0.501 0.744
Te5 0.831 0.831 0.920
Te6 0.836 0.836 0.411

***

4.
ZrP2Br | PBE | relaxed

Properties
DOS at the Fermi energy   2.03 states/eV/cell
ΔE_f (raw)   -0.5359 eV/atom
Excess energy over the best structure of this formula in the dataset   72 kJ/mol of formula units
VASP energy   -5.796 eV per atom

Cell lengths 3.318, 3.318, 7.935 Å; angles 90.00, 90.00, 90.00 degrees
Atoms (fractional coordinates):
Zr1 0.000 0.000 0.000
P1 0.000 0.000 0.682
P2 0.500 0.500 0.789
Br1 0.500 0.500 0.220

***

5.
Cr2CoBr | PBE | relaxed

Properties
DOS at the Fermi energy   2.67 states/eV/cell
ΔE_f (raw)   0.6572 eV/atom
Excess energy over the best structure of this formula in the dataset   80 kJ/mol of formula units
VASP energy   -6.349 eV per atom

Cell lengths 4.690, 4.690, 4.469 Å; angles 94.79, 94.79, 37.46 degrees
Atoms (fractional coordinates):
Cr1 0.000 0.000 0.000
Cr2 0.728 0.728 0.243
Co1 0.271 0.271 0.831
Br1 0.477 0.477 0.512

***

6.
TaTl | PBE | relaxed

Properties
Formation energy from the elements   0.513 eV/atom
DOS at the Fermi energy   3.96 states/eV/cell
Excess energy over the best structure of this formula in the dataset   10 kJ/mol of formula units
VASP energy   -6.596 eV per atom

Cell lengths 2.969, 2.969, 10.572 Å; angles 90.00, 90.00, 90.00 degrees
Atoms (fractional coordinates):
Ta1 0.250 0.250 0.099
Ta2 0.750 0.750 0.901
Tl1 0.250 0.250 0.660
Tl2 0.750 0.750 0.340

***

7.
MnCr2Tc | PBE | relaxed

Properties
Formation energy from the elements   0.101 eV/atom
DOS at the Fermi energy   4.16 states/eV/cell
Excess energy over the best structure of this formula in the dataset   18 kJ/mol of formula units
VASP energy   -9.595 eV per atom

Cell lengths 2.555, 2.555, 8.108 Å; angles 90.00, 90.00, 109.53 degrees
Atoms (fractional coordinates):
Mn1 0.000 0.000 0.000
Cr1 0.000 0.000 0.477
Cr2 0.500 0.500 0.238
Tc1 0.500 0.500 0.738

***

8.
NaScAsBr2 | PBE | relaxed

Properties
DOS at the Fermi energy   3.29 states/eV/cell
ΔE_f (raw)   -0.9133 eV/atom
Excess energy over the best structure of this formula in the dataset   0 kJ/mol of formula units
VASP energy   -4.042 eV per atom

Cell lengths 5.376, 5.376, 5.290 Å; angles 90.00, 90.00, 90.00 degrees
Atoms (fractional coordinates):
Na1 0.000 0.000 0.000
Sc1 0.500 0.500 0.500
As1 0.500 0.500 0.000
Br1 0.000 0.500 0.500
Br2 0.500 0.000 0.500

***

9.
Ti3InSb | PBE | relaxed

Properties
DOS at the Fermi energy   9.12 states/eV/cell
ΔE_f (raw)   0.6241 eV/atom
Excess energy over the best structure of this formula in the dataset   271 kJ/mol of formula units
VASP energy   -5.485 eV per atom

Cell lengths 5.012, 5.012, 5.012 Å; angles 90.00, 90.00, 90.00 degrees
Atoms (fractional coordinates):
Ti1 0.000 0.000 0.500
Ti2 0.000 0.500 0.000
Ti3 0.500 0.000 0.000
In1 0.500 0.500 0.500
Sb1 0.000 0.000 0.000

***

10.
BaCd2Pt | PBE | relaxed

Properties
Formation energy from the elements   -0.324 eV/atom
DOS at the Fermi energy   1.50 states/eV/cell
VASP energy   -2.772 eV per atom

Cell lengths 6.340, 6.340, 6.340 Å; angles 145.87, 129.71, 62.18 degrees
Atoms (fractional coordinates):
Ba1 0.000 0.000 0.000
Cd1 0.298 0.798 0.500
Cd2 0.702 0.202 0.500
Pt1 0.500 0.500 0.000

***

11.
PuThSe2O | PBE | relaxed

Properties
DOS at the Fermi energy   12.49 states/eV/cell
ΔE_f (raw)   -2.0691 eV/atom
VASP energy   -8.805 eV per atom

Cell lengths 4.090, 4.090, 13.942 Å; angles 90.00, 90.00, 90.00 degrees
Atoms (fractional coordinates):
Pu1 0.250 0.250 0.081
Pu2 0.750 0.750 0.919
Th1 0.250 0.250 0.606
Th2 0.750 0.750 0.394
Se1 0.250 0.250 0.381
Se2 0.250 0.250 0.811
Se3 0.750 0.750 0.189
Se4 0.750 0.750 0.619
O1 0.250 0.750 0.000
O2 0.750 0.250 0.000

***

12.
Dy2Cu3Ni2 | PBE | relaxed

Properties
Formation energy from the elements   -0.294 eV/atom
DOS at the Fermi energy   3.08 states/eV/cell
Excess energy over the best structure of this formula in the dataset   0 kJ/mol of formula units
VASP energy   -5.017 eV per atom

Cell lengths 5.067, 5.067, 6.303 Å; angles 100.23, 100.23, 46.19 degrees
Atoms (fractional coordinates):
Dy1 0.118 0.118 0.326
Dy2 0.882 0.882 0.674
Cu1 0.201 0.201 0.886
Cu2 0.500 0.500 0.000
Cu3 0.799 0.799 0.114
Ni1 0.409 0.409 0.337
Ni2 0.591 0.591 0.663